DFT (PBE-GGA) results for a relaxed structure of Tl2ZnInI.

Geometry as POSCAR:
```
Tl2ZnInI
1.0
6.0455 0.0000 0.0000
0.0000 6.0455 0.0000
0.0000 0.0000 5.1349
Tl Zn In I
2 1 1 1
direct
0.0000 0.5000 0.0000
0.5000 0.0000 0.0000
0.0000 0.0000 0.5000
0.0000 0.0000 0.0000
0.5000 0.5000 0.5000
```

Results
Magnetic moment: 0.00 μB per formula unit
E_form (uncorrected): 17 meV/atom